# 1
Density functional theory data (PBE) for a geometry-optimized SnP2PbO8 structure.

a = 4.934 Å, b = 8.948 Å, c = 15.090 Å
α = 90.00°, β = 90.00°, γ = 92.55°
Fractional coordinates of all 48 atoms:
O: 0.236 0.873 0.996
O: 0.910 0.339 0.107
O: 0.853 0.377 0.938
O: 0.055 0.165 0.540
O: 0.347 0.282 0.235
O: 0.102 0.082 0.322
O: 0.090 0.661 0.893
O: 0.353 0.877 0.562
O: 0.936 0.464 0.750
O: 0.445 0.335 0.040
O: 0.839 0.952 0.848
O: 0.339 0.452 0.652
O: 0.436 0.964 0.750
O: 0.736 0.373 0.504
O: 0.661 0.548 0.348
O: 0.602 0.582 0.178
O: 0.590 0.161 0.607
O: 0.161 0.048 0.152
O: 0.264 0.627 0.496
O: 0.898 0.918 0.678
O: 0.153 0.218 0.735
O: 0.398 0.418 0.822
O: 0.410 0.839 0.393
O: 0.064 0.536 0.250
O: 0.555 0.665 0.960
O: 0.147 0.623 0.062
O: 0.764 0.127 0.004
O: 0.847 0.782 0.265
O: 0.564 0.036 0.250
O: 0.945 0.835 0.460
O: 0.647 0.123 0.438
O: 0.653 0.718 0.765
Pb: 0.709 0.590 0.600
Pb: 0.791 0.910 0.100
Pb: 0.209 0.090 0.900
Pb: 0.291 0.410 0.400
Sn: 0.734 0.551 0.858
Sn: 0.766 0.949 0.358
Sn: 0.234 0.051 0.642
Sn: 0.266 0.449 0.142
P: 0.717 0.891 0.762
P: 0.753 0.204 0.523
P: 0.247 0.796 0.477
P: 0.217 0.391 0.738
P: 0.747 0.296 0.023
P: 0.283 0.109 0.238
P: 0.783 0.609 0.262
P: 0.253 0.704 0.977

Summary:
**Polymorph energy (0 for the lowest one)**: 0.000 eV/atom
**Formation energy from raw total energies**: -1984 meV/atom
**E_tot**: -6.834 eV/atom



# 2
Density functional theory data (PBE) for a geometry-optimized Ca2Pr8Y3 structure.

a = 6.405 Å, b = 9.073 Å, c = 9.756 Å
α = 72.01°, β = 71.26°, γ = 62.14°
Fractional coordinates of all 13 atoms:
Pr: 0.156 0.189 0.270
Pr: 0.777 0.951 0.347
Pr: 0.223 0.049 0.653
Pr: 0.910 0.660 0.117
Pr: 0.090 0.340 0.883
Pr: 0.380 0.739 0.420
Pr: 0.844 0.811 0.730
Pr: 0.620 0.261 0.580
Ca: 0.537 0.424 0.192
Ca: 0.463 0.576 0.808
Y: 0.000 0.500 0.500
Y: 0.301 0.897 0.038
Y: 0.699 0.103 0.962

Summary:
**E_tot**: -4.701 eV/atom
**ΔE_f**: 0.04 eV per atom